! K3ScO GGA-PBE optimized geometry; values from VASP
! Mass density = 0.9 g cm⁻³
! Formation energy (no corrections) = 497 kJ/mol of formula units
! Offset from the most stable computed form = 1.037 eV per atom
! E_tot = -9.4 eV per cell
! Fermi-level density of states = 2.514 states/eV/atom
! Space-group type = Pm-3m, No. 221
! Volume = 332 Å³ per cell
&SYSTEM
  ibrav = 0, nat = 5, ntyp = 3
/
ATOMIC_SPECIES
K 39.10 K.upf
Sc 44.96 Sc.upf
O 16.00 O.upf
CELL_PARAMETERS angstrom
6.924 0.000 0.000
0.000 6.924 0.000
0.000 0.000 6.924
ATOMIC_POSITIONS angstrom
K 0.000 0.000 3.462
K 0.000 3.462 0.000
K 3.462 0.000 0.000
Sc 0.000 0.000 0.000
O 3.462 3.462 3.462